Here is Rb3Hg after structural relaxation from Alexandria via LeMat-Bulk. Energies are from PBEsol.

abc: 6.0194 6.0194 6.0194
angles: 90.00 90.00 90.00
Atoms (fractional coordinates):
Rb 0.0000 0.5000 0.5000
Rb 0.5000 0.0000 0.5000
Rb 0.5000 0.5000 0.0000
Hg 0.0000 0.0000 0.0000

symmetry	Pm-3m (221)
total DFT energy (no corrections)	-3.7	eV/cell
formation energy from the elements	-0.010	eV/atom
density of states at the Fermi level	2.8	states/eV/cell

Here is Rb2Hg7 after structural relaxation from Alexandria via LeMat-Bulk. Energies are from PBEsol.

abc: 6.4811 6.8039 6.8039
angles: 120.00 90.00 90.00
Atoms (fractional coordinates):
Hg 0.3360 0.8202 0.1798
Hg 0.0000 0.0000 0.0000
Hg 0.6640 0.6404 0.8202
Hg 0.6640 0.1798 0.8202
Hg 0.3360 0.3596 0.1798
Hg 0.6640 0.1798 0.3596
Hg 0.3360 0.8202 0.6404
Rb 0.8500 0.6667 0.3333
Rb 0.1500 0.3333 0.6667

symmetry	P-3m1 (164)
total DFT energy (no corrections)	-7.9	eV/cell
formation energy from the elements	-0.213	eV/atom
density of states at the Fermi level	2.6	states/eV/cell

Here is RbHg11 after structural relaxation from Alexandria via LeMat-Bulk. Energies are from PBEsol.

abc: 9.7512 9.7512 9.7512
angles: 90.00 90.00 90.00
Atoms (fractional coordinates):
Hg 0.3458 0.0000 0.6542
Hg 0.6542 0.3458 0.0000
Hg 0.5000 0.2685 0.7315
Hg 0.5000 0.5000 0.5000
Hg 0.5000 0.7315 0.7315
Hg 0.2685 0.5000 0.7315
Hg 0.7315 0.2685 0.5000
Hg 0.6542 0.0000 0.6542
Hg 0.0000 0.3458 0.3458
Hg 0.2685 0.7315 0.5000
Hg 0.2685 0.2685 0.5000
Hg 0.8459 0.1541 0.8459
Hg 0.6542 0.6542 0.0000
Hg 0.0000 0.3458 0.6542
Hg 0.8459 0.8459 0.1541
Hg 0.5000 0.7315 0.2685
Hg 0.1541 0.1541 0.8459
Hg 0.3458 0.3458 0.0000
Hg 0.1541 0.8459 0.8459
Hg 0.8459 0.8459 0.8459
Hg 0.7315 0.7315 0.5000
Hg 0.5000 0.2685 0.2685
Hg 0.8459 0.1541 0.1541
Hg 0.3458 0.6542 0.0000
Hg 0.7315 0.5000 0.7315
Hg 0.0000 0.6542 0.3458
Hg 0.3458 0.0000 0.3458
Hg 0.2685 0.5000 0.2685
Hg 0.0000 0.6542 0.6542
Hg 0.1541 0.8459 0.1541
Hg 0.7315 0.5000 0.2685
Hg 0.6542 0.0000 0.3458
Hg 0.1541 0.1541 0.1541
Rb 0.5000 0.0000 0.0000
Rb 0.0000 0.5000 0.0000
Rb 0.0000 0.0000 0.5000

symmetry	Pm-3m (221)
total DFT energy (no corrections)	-25.5	eV/cell
formation energy from the elements	-0.103	eV/atom
density of states at the Fermi level	8.5	states/eV/cell

Here is RbHg3 after structural relaxation from Alexandria via LeMat-Bulk. Energies are from PBEsol.

abc: 5.2142 7.3939 7.3939
angles: 120.00 90.00 90.00
Atoms (fractional coordinates):
Hg 0.7500 0.8571 0.1429
Hg 0.7500 0.2859 0.1429
Hg 0.2500 0.1429 0.2859
Hg 0.2500 0.7141 0.8571
Hg 0.2500 0.1429 0.8571
Hg 0.7500 0.8571 0.7141
Rb 0.7500 0.3333 0.6667
Rb 0.2500 0.6667 0.3333

symmetry	P6_3/mmc (194)
total DFT energy (no corrections)	-6.9	eV/cell
formation energy from the elements	-0.187	eV/atom
density of states at the Fermi level	3.1	states/eV/cell

Here is Rb3Hg after structural relaxation from Alexandria via LeMat-Bulk. Energies are from PBEsol.

abc: 6.7418 6.7418 6.7418
angles: 60.00 60.00 60.00
Atoms (fractional coordinates):
Hg 0.0000 0.0000 0.0000
Rb 0.7500 0.7500 0.7500
Rb 0.5000 0.5000 0.5000
Rb 0.2500 0.2500 0.2500

symmetry	Fm-3m (225)
total DFT energy (no corrections)	-3.7	eV/cell
formation energy from the elements	-0.009	eV/atom
density of states at the Fermi level	2.3	states/eV/cell

Here is RbReHg3 after structural relaxation from Alexandria via LeMat-Bulk. Energies are from PBEsol.

abc: 5.2785 5.2785 5.2785
angles: 90.00 90.00 90.00
Atoms (fractional coordinates):
Rb 0.5000 0.5000 0.5000
Hg 0.0000 0.0000 0.5000
Hg 0.5000 0.0000 0.0000
Hg 0.0000 0.5000 0.0000
Re 0.0000 0.0000 0.0000

symmetry	Pm-3m (221)
total DFT energy (no corrections)	-13.6	eV/cell
formation energy from the elements	0.500	eV/atom
density of states at the Fermi level	4.3	states/eV/cell

Among the records above, which one has the lowest total DFT energy (no corrections)?
RbHg11